# 1
{
  "formula": "KErMgI6",
  "functional": "PBE",
  "state": "relaxed",
  "dft_energy_ev_per_fu": -28.1,
  "space_group": "P-31c, No. 163",
  "formation_energy_uncorrected_ev_per_atom": -1.285,
  "volume_a3_per_cell": 809,
  "magnetic_moment_mub_per_atom": 0.0000,
  "lattice": [[-4.097, -4.003, -5.145], [7.192, 2.187, -1.667], [5.500, -13.450, 6.084]],
  "species": ["K", "K", "Er", "Er", "Mg", "Mg", "I", "I", "I", "I", "I", "I", "I", "I", "I", "I", "I", "I"],
  "frac_coords": [[0.000, 0.000, 0.000], [0.000, 0.000, 0.500], [0.667, 0.333, 0.250], [0.333, 0.667, 0.750], [0.333, 0.667, 0.250], [0.667, 0.333, 0.750], [0.628, 0.635, 0.141], [0.006, 0.372, 0.141], [0.372, 0.006, 0.641], [0.994, 0.628, 0.859], [0.365, 0.372, 0.359], [0.006, 0.635, 0.359], [0.635, 0.006, 0.859], [0.628, 0.994, 0.359], [0.994, 0.365, 0.641], [0.365, 0.994, 0.141], [0.635, 0.628, 0.641], [0.372, 0.365, 0.859]]
}

---

# 2
{
  "formula": "ZrNp4As5",
  "functional": "PBE",
  "state": "relaxed",
  "dft_energy_ev_per_fu": -91.4,
  "space_group": "Immm, No. 71",
  "volume_a3_per_cell": 236,
  "magnetic_moment_mub_per_atom": 1.5512,
  "lattice": [[0.501, 2.354, -3.241], [3.990, -3.610, -2.006], [-9.454, -4.608, -2.294]],
  "species": ["Zr", "Np", "Np", "Np", "Np", "As", "As", "As", "As", "As"],
  "frac_coords": [[0.000, 0.000, 0.000], [0.401, 0.401, 0.802], [0.803, 0.803, 0.606], [0.197, 0.197, 0.394], [0.599, 0.599, 0.198], [0.595, 0.095, 0.190], [0.799, 0.299, 0.598], [0.201, 0.701, 0.402], [0.000, 0.500, 0.000], [0.405, 0.905, 0.810]]
}

---

Let's list Fermi-level density of states in order: 0.000; 32.313 states/eV per cell.